This record from Alexandria via LeMat-Bulk describes an optimized crystal structure of TbSmYLu. The functional is PBE-GGA.

Calculated values
Density of states at the Fermi level   8.63 states/eV/f.u.
Calculated volume   515.92 Å³/cell
Calculated formation energy   131 meV per atom

Cell lengths 8.0204, 8.0204, 8.0204 Å; angles 90.00, 90.00, 90.00 degrees
Fractional positions:
Tb 0.0000 0.0000 0.0000
Tb 0.0000 0.5000 0.5000
Tb 0.5000 0.0000 0.5000
Tb 0.5000 0.5000 0.0000
Sm 0.2500 0.2500 0.7500
Sm 0.2500 0.7500 0.2500
Sm 0.7500 0.2500 0.2500
Sm 0.7500 0.7500 0.7500
Y 0.2500 0.2500 0.2500
Y 0.2500 0.7500 0.7500
Y 0.7500 0.2500 0.7500
Y 0.7500 0.7500 0.2500
Lu 0.0000 0.0000 0.5000
Lu 0.0000 0.5000 0.0000
Lu 0.5000 0.0000 0.0000
Lu 0.5000 0.5000 0.5000

This record from Alexandria via LeMat-Bulk describes an optimized crystal structure of TbHg2. The functional is PBE-GGA.

Calculated values
Density of states at the Fermi level   1.34 states/eV/f.u.
Calculated volume   153.02 Å³/cell
Calculated formation energy   -379 meV per atom

Cell lengths 7.6230, 5.3879, 3.8353 Å; angles 90.00, 103.74, 90.00 degrees
Fractional positions:
Tb 0.0000 0.0000 0.0000
Tb 0.5000 0.5000 0.0000
Hg 0.1647 0.5000 0.3469
Hg 0.3353 0.0000 0.6531
Hg 0.6647 0.0000 0.3469
Hg 0.8353 0.5000 0.6531

This record from Alexandria via LeMat-Bulk describes an optimized crystal structure of FeNi2. The functional is PBE-GGA.

Calculated values
Density of states at the Fermi level   1.83 states/eV/f.u.
Calculated volume   66.79 Å³/cell
Calculated formation energy   -53 meV per atom

Cell lengths 2.5094, 2.5094, 10.6064 Å; angles 90.00, 90.00, 90.00 degrees
Fractional positions:
Fe 0.0000 0.0000 0.0000
Fe 0.5000 0.5000 0.5000
Ni 0.0000 0.0000 0.3340
Ni 0.0000 0.0000 0.6660
Ni 0.5000 0.5000 0.1660
Ni 0.5000 0.5000 0.8340

This record from Alexandria via LeMat-Bulk describes an optimized crystal structure of NaBeCoGe. The functional is PBE-GGA.

Calculated values
Density of states at the Fermi level   2.60 states/eV/f.u.
Calculated volume   62.65 Å³/cell
Calculated formation energy   122 meV per atom
E above lowest polymorph   0.48 eV per formula unit

Cell lengths 2.8491, 3.2345, 6.9339 Å; angles 90.00, 101.32, 90.00 degrees
Fractional positions:
Na 0.0000 0.0000 0.0000
Be 0.7896 0.0000 0.6055
Co 0.3014 0.5000 0.6293
Ge 0.6639 0.5000 0.3398

This record from Alexandria via LeMat-Bulk describes an optimized crystal structure of MoIr2Os. The functional is PBE-GGA.

Calculated values
Density of states at the Fermi level   5.04 states/eV/f.u.
Calculated volume   58.89 Å³/cell
Calculated formation energy   -117 meV per atom
E above lowest polymorph   0.44 eV per formula unit

Cell lengths 2.7396, 3.9207, 5.4832 Å; angles 90.00, 90.00, 90.00 degrees
Fractional positions:
Mo 0.0000 0.0000 0.0000
Ir 0.5000 0.5000 0.2547
Ir 0.5000 0.5000 0.7453
Os 0.0000 0.0000 0.5000

Q: The lowest calculated formation energy belongs to which entry?
A: TbHg2